Record 1
A plane-wave DFT calculation with PBE was carried out for a relaxed Th2AlZn3Cu12 crystal.

a = 7.443 Å, b = 7.443 Å, c = 7.443 Å
α = 66.25°, β = 66.25°, γ = 66.25°
Positions (direct):
1 Th 0.100 0.100 0.100
2 Th 0.900 0.900 0.900
3 Al 0.500 0.500 0.500
4 Zn 0.000 0.500 0.500
5 Zn 0.500 0.000 0.500
6 Zn 0.500 0.500 0.000
7 Cu 0.131 0.131 0.498
8 Cu 0.131 0.498 0.131
9 Cu 0.148 0.641 0.641
10 Cu 0.359 0.359 0.852
11 Cu 0.359 0.852 0.359
12 Cu 0.498 0.131 0.131
13 Cu 0.502 0.869 0.869
14 Cu 0.641 0.148 0.641
15 Cu 0.641 0.641 0.148
16 Cu 0.852 0.359 0.359
17 Cu 0.869 0.502 0.869
18 Cu 0.869 0.869 0.502

Values from the calculation:
DFT formation energy	4.945	eV per formula unit
space group	No. 166

---

Record 2
A plane-wave DFT calculation with PBE was carried out for a relaxed ThAlZn6Cu crystal.

a = 8.712 Å, b = 8.712 Å, c = 8.712 Å
α = 143.97°, β = 124.09°, γ = 68.33°
Positions (direct):
1 Th 0.260 0.010 0.250
2 Th 0.740 0.990 0.750
3 Al 0.000 0.500 0.500
4 Al 0.500 0.500 0.000
5 Zn 0.003 0.253 0.750
6 Zn 0.136 0.393 0.219
7 Zn 0.136 0.917 0.743
8 Zn 0.326 0.083 0.719
9 Zn 0.326 0.607 0.243
10 Zn 0.360 0.610 0.750
11 Zn 0.640 0.390 0.250
12 Zn 0.674 0.393 0.757
13 Zn 0.674 0.917 0.281
14 Zn 0.864 0.083 0.257
15 Zn 0.864 0.607 0.781
16 Zn 0.997 0.747 0.250
17 Cu 0.500 0.000 0.000
18 Cu 0.500 0.500 0.500

Values from the calculation:
DFT formation energy	-0.900	eV per formula unit
space group	No. 74

---

Record 3
A plane-wave DFT calculation with PBE was carried out for a relaxed ThAlZnCu6 crystal.

a = 7.434 Å, b = 7.434 Å, c = 7.434 Å
α = 124.75°, β = 105.24°, γ = 99.62°
Positions (direct):
1 Th 0.476 0.226 0.250
2 Th 0.524 0.774 0.750
3 Al 0.000 0.000 0.000
4 Al 0.500 0.000 0.500
5 Zn 0.000 0.000 0.500
6 Zn 0.000 0.500 0.000
7 Cu 0.118 0.443 0.308
8 Cu 0.118 0.810 0.675
9 Cu 0.174 0.924 0.250
10 Cu 0.213 0.463 0.750
11 Cu 0.365 0.190 0.808
12 Cu 0.365 0.557 0.175
13 Cu 0.635 0.443 0.825
14 Cu 0.635 0.810 0.192
15 Cu 0.787 0.537 0.250
16 Cu 0.826 0.076 0.750
17 Cu 0.882 0.190 0.325
18 Cu 0.882 0.557 0.692

Values from the calculation:
DFT formation energy	1.493	eV per formula unit
space group	No. 74

---

Record 4
A plane-wave DFT calculation with PBE was carried out for a relaxed ThAlZn2Cu5 crystal.

a = 4.595 Å, b = 4.595 Å, c = 7.085 Å
α = 90.00°, β = 90.00°, γ = 90.00°
Positions (direct):
1 Th 0.000 0.000 0.000
2 Al 0.000 0.000 0.500
3 Zn 0.500 0.500 0.333
4 Zn 0.500 0.500 0.667
5 Cu 0.000 0.500 0.276
6 Cu 0.000 0.500 0.724
7 Cu 0.500 0.000 0.276
8 Cu 0.500 0.000 0.724
9 Cu 0.500 0.500 0.000

Values from the calculation:
DFT formation energy	0.992	eV per formula unit
space group	No. 123

---

Record 5
A plane-wave DFT calculation with PBE was carried out for a relaxed Th2AlZn4Cu3 crystal.

a = 4.191 Å, b = 4.191 Å, c = 10.400 Å
α = 90.00°, β = 90.00°, γ = 90.00°
Positions (direct):
1 Th 0.000 0.500 0.245
2 Th 0.500 0.000 0.755
3 Al 0.000 0.000 0.500
4 Zn 0.000 0.000 0.000
5 Zn 0.000 0.500 0.636
6 Zn 0.500 0.000 0.364
7 Zn 0.500 0.500 0.000
8 Cu 0.000 0.500 0.869
9 Cu 0.500 0.000 0.131
10 Cu 0.500 0.500 0.500

Values from the calculation:
DFT formation energy	-2.382	eV per formula unit
space group	No. 115

---

Record 6
A plane-wave DFT calculation with PBE was carried out for a relaxed Ti6AlCu crystal.

a = 5.680 Å, b = 5.680 Å, c = 4.651 Å
α = 90.00°, β = 90.00°, γ = 120.00°
Positions (direct):
1 Ti 0.007 0.504 0.000
2 Ti 0.323 0.162 0.500
3 Ti 0.496 0.504 0.000
4 Ti 0.496 0.993 0.000
5 Ti 0.838 0.162 0.500
6 Ti 0.838 0.677 0.500
7 Al 0.000 0.000 0.000
8 Cu 0.333 0.667 0.500

Values from the calculation:
DFT formation energy	-0.930	eV per formula unit
space group	No. 187

---

Record 7
A plane-wave DFT calculation with PBE was carried out for a relaxed TiAlCu crystal.

a = 5.302 Å, b = 5.302 Å, c = 4.124 Å
α = 101.76°, β = 101.76°, γ = 120.15°
Positions (direct):
1 Ti 0.121 0.879 0.500
2 Ti 0.879 0.121 0.000
3 Al 0.275 0.489 0.690
4 Al 0.489 0.275 0.190
5 Cu 0.534 0.802 0.329
6 Cu 0.802 0.534 0.829

Values from the calculation:
DFT formation energy	-0.358	eV per formula unit
space group	No. 9

---

Record 8
A plane-wave DFT calculation with PBE was carried out for a relaxed TiAl2Cu crystal.

a = 5.620 Å, b = 5.620 Å, c = 5.620 Å
α = 103.07°, β = 103.07°, γ = 123.22°
Positions (direct):
1 Ti 0.000 0.000 0.000
2 Ti 0.750 0.250 0.500
3 Al 0.164 0.625 0.039
4 Al 0.375 0.414 0.539
5 Al 0.586 0.125 0.961
6 Al 0.875 0.836 0.461
7 Cu 0.250 0.750 0.500
8 Cu 0.500 0.500 0.000

Values from the calculation:
DFT formation energy	0.120	eV per formula unit
space group	No. 122

---

Record 9
A plane-wave DFT calculation with PBE was carried out for a relaxed Ti2AlCu crystal.

a = 5.675 Å, b = 5.675 Å, c = 5.675 Å
α = 101.29°, β = 101.29°, γ = 127.47°
Positions (direct):
1 Ti 0.104 0.125 0.479
2 Ti 0.375 0.896 0.021
3 Ti 0.646 0.625 0.521
4 Ti 0.875 0.354 0.979
5 Al 0.250 0.750 0.500
6 Al 0.500 0.500 0.000
7 Cu 0.000 0.000 0.000
8 Cu 0.750 0.250 0.500

Values from the calculation:
DFT formation energy	0.620	eV per formula unit
space group	No. 122

---

Record 10
A plane-wave DFT calculation with PBE was carried out for a relaxed TiAl2Cu3 crystal.

a = 4.143 Å, b = 4.143 Å, c = 11.187 Å
α = 90.00°, β = 90.00°, γ = 120.00°
Positions (direct):
1 Ti 0.000 0.000 0.250
2 Ti 0.000 0.000 0.750
3 Al 0.333 0.667 0.096
4 Al 0.333 0.667 0.404
5 Al 0.667 0.333 0.596
6 Al 0.667 0.333 0.904
7 Cu 0.000 0.000 0.000
8 Cu 0.000 0.000 0.500
9 Cu 0.333 0.667 0.638
10 Cu 0.333 0.667 0.862
11 Cu 0.667 0.333 0.138
12 Cu 0.667 0.333 0.362

Values from the calculation:
DFT formation energy	-1.555	eV per formula unit
space group	No. 194

---

Record 11
A plane-wave DFT calculation with PBE was carried out for a relaxed TiAlCu crystal.

a = 4.022 Å, b = 6.425 Å, c = 6.425 Å
α = 32.33°, β = 90.00°, γ = 90.00°
Positions (direct):
1 Ti 0.000 0.000 0.000
2 Ti 0.000 0.325 0.325
3 Al 0.500 0.161 0.161
4 Al 0.500 0.841 0.841
5 Cu 0.000 0.658 0.658
6 Cu 0.500 0.501 0.501

Values from the calculation:
DFT formation energy	-0.754	eV per formula unit
space group	No. 38

---

Record 12
A plane-wave DFT calculation with PBE was carried out for a relaxed TiAlCu crystal.

a = 4.226 Å, b = 4.226 Å, c = 2.899 Å
α = 90.00°, β = 90.00°, γ = 120.00°
Positions (direct):
1 Ti 0.000 0.000 0.000
2 Al 0.667 0.333 0.500
3 Cu 0.333 0.667 0.500

Values from the calculation:
DFT formation energy	-0.857	eV per formula unit
space group	No. 187

---

- Look up the DFT formation energy of the eleventh one.
  -0.754 eV per formula unit